[1]
Below is a relaxed NaMg2Br crystal, with properties calculated at the GGA-PBE level.

Values from the calculation:
DOS(E_F): 0.58 states/eV/cell
Polymorph energy (0 for the lowest one): 0 meV/atom
Formation energy from raw total energies: -0.288 eV per atom

POSCAR file:
```
NaMg2Br
1.0
-5.1977 -6.4703 3.3130
2.3186 -5.3357 -6.7832
0.8664 -6.9358 -0.1345
Na Mg Br
2 4 2
direct
0.5000 0.5000 0.0000
0.2500 0.7500 0.5000
0.6638 0.1250 0.2500
0.0862 0.6250 0.2500
0.3750 0.3362 0.7500
0.8750 0.9138 0.7500
0.0000 0.0000 0.0000
0.7500 0.2500 0.5000
```

---

[2]
Below is a relaxed MnNi2Ru crystal, with properties calculated at the GGA-PBE level.

Values from the calculation:
DOS(E_F): 5.89 states/eV/cell
ΔH_f (0 K): 1.3 kcal/mol of atoms

POSCAR file:
```
MnNi2Ru
1.0
-1.5884 1.3385 1.5760
2.0256 -0.8846 2.7928
2.8390 4.2196 -0.7225
Mn Ni Ru
1 2 1
direct
0.5000 0.5000 0.7521
0.0000 0.0000 0.0053
0.5000 0.5000 0.2398
0.0000 0.0000 0.5029
```